Computed, not measured: a relaxed AsHPbBr2 crystal at the GGA-PBE level of DFT.

Lattice parameters (Å, degrees): 5.845 5.845 5.725 90.00 90.00 90.00
Site moments in Bohr magnetons follow the coordinates.
Fractional positions:
Pb: 0.000 0.000 0.000  0.00
H: 0.500 0.500 0.500  0.38
As: 0.000 0.000 0.500  0.86
Br: 0.000 0.500 0.000  0.06
Br: 0.500 0.000 0.000  0.06

Output
- SG: P4/mmm (123)
- DOS(E_F): 0.2999 states/eV/atom
- E: -2.494 eV/atom
- Relative energy among the computed polymorphs: 478 meV per atom